Version A
Computed, not measured: a relaxed structure of AcYEr2 at the PBE-GGA level of DFT.

## Properties
Space-group type = Fm-3m
V = 34.662 Å³ per atom
Fermi-level density of states = 1.532 states/eV per atom

abc: 5.8096 5.8096 5.8096
angles: 60.00 60.00 60.00
Fractional positions:
1 Y 0.5000 0.5000 0.5000
2 Ac 0.0000 0.0000 0.0000
3 Er 0.2500 0.2500 0.2500
4 Er 0.7500 0.7500 0.7500

=====

Version B
Computed, not measured: a relaxed structure of AcYEr2 at the PBE-GGA level of DFT.

## Properties
Space-group type = P4/mmm
V = 34.819 Å³ per atom
Fermi-level density of states = 1.750 states/eV per atom

abc: 4.1440 4.1440 8.1103
angles: 90.00 90.00 90.00
Fractional positions:
1 Y 0.5000 0.5000 0.0000
2 Ac 0.5000 0.5000 0.5000
3 Er 0.0000 0.0000 0.7746
4 Er 0.0000 0.0000 0.2254

=====

Version C
Computed, not measured: a relaxed structure of AcYEr2 at the PBE-GGA level of DFT.

## Properties
Space-group type = P4/mmm
V = 34.282 Å³ per atom
Fermi-level density of states = 1.808 states/eV per atom

abc: 5.1268 5.1718 5.1718
angles: 90.00 90.00 90.00
Fractional positions:
1 Y 0.5000 0.5000 0.5000
2 Ac 0.5000 0.0000 0.0000
3 Er 0.0000 0.0000 0.5000
4 Er 0.0000 0.5000 0.0000

=====

Most stable: version C (next structure +3.5 kJ/mol of atoms)

=====

Version A
Computed, not measured: a relaxed structure of AcY7Er3 at the PBE-GGA level of DFT.

## Properties
Space-group type = P2/m
V = 33.660 Å³ per atom
Fermi-level density of states = 1.652 states/eV per atom

abc: 8.9656 9.9162 5.6192
angles: 90.01 128.81 103.93
Fractional positions:
1 Ac 0.5000 0.5000 0.5000
2 Y 0.9362 0.8333 0.9362
3 Y 0.8324 0.6428 0.3324
4 Y 0.6464 0.2869 0.1466
5 Y 0.3536 0.7131 0.8534
6 Y 0.5000 0.0000 0.5000
7 Y 0.1676 0.3572 0.6676
8 Y 0.0638 0.1667 0.0638
9 Er 0.2259 0.0078 0.7259
10 Er 0.0000 0.5000 0.0000
11 Er 0.7741 0.9922 0.2741

=====

Version B
Computed, not measured: a relaxed structure of AcY7Er3 at the PBE-GGA level of DFT.

## Properties
Space-group type = P3m1
V = 34.819 Å³ per atom
Fermi-level density of states = 1.703 states/eV per atom

abc: 8.6777 7.1390 7.1390
angles: 120.00 90.00 90.00
Fractional positions:
1 Ac 0.4494 0.3333 0.6667
2 Y 0.1127 0.1670 0.8330
3 Y 0.1127 0.1670 0.3341
4 Y 0.1152 0.6667 0.3333
5 Y 0.4501 0.8320 0.1679
6 Y 0.4501 0.3359 0.1679
7 Y 0.4501 0.8320 0.6641
8 Y 0.1127 0.6659 0.8330
9 Er 0.7874 0.5020 0.4980
10 Er 0.7874 0.5020 0.0041
11 Er 0.7874 0.9959 0.4980

=====

Most stable: version A (next structure +7.4 kJ/mol of atoms)

=====

Version A
Computed, not measured: a relaxed structure of AcY4Er6 at the PBE-GGA level of DFT.

## Properties
Space-group type = Cmcm
V = 32.780 Å³ per atom
Fermi-level density of states = 1.753 states/eV per atom

abc: 5.7234 5.6921 25.6077
angles: 90.00 90.00 120.18
Fractional positions:
1 Ac 0.8274 0.6549 0.2500
2 Ac 0.1726 0.3451 0.7500
3 Y 0.8353 0.6705 0.5412
4 Y 0.4936 0.9871 0.1219
5 Y 0.1647 0.3295 0.4588
6 Y 0.5064 0.0129 0.8781
7 Y 0.8353 0.6705 0.9588
8 Y 0.1647 0.3295 0.0412
9 Y 0.5064 0.0129 0.6219
10 Y 0.4936 0.9871 0.3781
11 Er 0.5000 0.0000 0.0000
12 Er 0.5000 0.0000 0.5000
13 Er 0.1607 0.3213 0.3203
14 Er 0.8393 0.6787 0.6797
15 Er 0.8393 0.6787 0.8203
16 Er 0.1607 0.3213 0.1797
17 Er 0.8283 0.6566 0.4004
18 Er 0.1717 0.3434 0.5996
19 Er 0.1717 0.3434 0.9004
20 Er 0.8283 0.6566 0.0996
21 Er 0.4934 0.9869 0.2500
22 Er 0.5066 0.0131 0.7500

=====

Version B
Computed, not measured: a relaxed structure of AcY4Er6 at the PBE-GGA level of DFT.

## Properties
Space-group type = I-42m
V = 35.794 Å³ per atom
Fermi-level density of states = 1.688 states/eV per atom

abc: 7.8519 7.8519 8.4624
angles: 117.64 117.64 90.00
Fractional positions:
1 Ac 0.5000 0.5000 0.0000
2 Y 0.0895 0.7612 0.8507
3 Y 0.9105 0.9105 0.1493
4 Y 0.7612 0.0895 0.8507
5 Y 0.2388 0.2388 0.1493
6 Er 0.9498 0.4261 0.3758
7 Er 0.4261 0.9498 0.3758
8 Er 0.5739 0.5739 0.6242
9 Er 0.0000 0.5000 0.0000
10 Er 0.0502 0.0502 0.6242
11 Er 0.5000 0.0000 0.0000

=====

Most stable: version A (next structure +31.5 kJ/mol of atoms)

=====

Version A
Computed, not measured: a relaxed structure of AcY6Er at the PBE-GGA level of DFT.

## Properties
Space-group type = R-3
V = 34.384 Å³ per atom
Fermi-level density of states = 1.838 states/eV per atom

abc: 8.7243 9.7653 6.5476
angles: 41.80 48.23 55.98
Fractional positions:
1 Ac 0.5000 0.5000 0.5000
2 Y 0.7557 0.5424 0.7451
3 Y 0.9571 0.7556 0.8294
4 Y 0.4579 0.9572 0.3404
5 Y 0.0429 0.2444 0.1706
6 Y 0.2443 0.4576 0.2549
7 Y 0.5421 0.0428 0.6596
8 Er 0.0000 0.0000 0.0000

=====

Version B
Computed, not measured: a relaxed structure of AcY6Er at the PBE-GGA level of DFT.

## Properties
Space-group type = P-1
V = 34.143 Å³ per atom
Fermi-level density of states = 1.809 states/eV per atom

abc: 6.8335 6.7322 6.8784
angles: 92.17 60.52 84.89
Fractional positions:
1 Ac 0.0000 0.0000 0.0000
2 Y 0.0940 0.7232 0.4581
3 Y 0.5748 0.7413 0.4787
4 Y 0.4252 0.2587 0.5213
5 Y 0.9060 0.2768 0.5419
6 Y 0.5647 0.7378 0.9601
7 Y 0.4353 0.2622 0.0399
8 Er 0.0000 0.5000 0.0000

=====

Most stable: version A (next structure +6.1 kJ/mol of atoms)

=====

Version A
Computed, not measured: a relaxed structure of AcEr2Zn at the PBE-GGA level of DFT.

## Properties
Space-group type = R3m
V = 31.014 Å³ per atom
Fermi-level density of states = 1.148 states/eV per atom

abc: 3.7150 3.7150 10.5987
angles: 79.91 79.91 60.00
Fractional positions:
1 Ac 0.5007 0.5007 0.4978
2 Er 0.0663 0.0663 0.8011
3 Er 0.2668 0.2668 0.1996
4 Zn 0.6662 0.6662 0.0015

=====

Version B
Computed, not measured: a relaxed structure of AcEr2Zn at the PBE-GGA level of DFT.

## Properties
Space-group type = P4/mmm
V = 29.652 Å³ per atom
Fermi-level density of states = 1.481 states/eV per atom

abc: 5.0619 4.8406 4.8406
angles: 90.00 90.00 90.00
Fractional positions:
1 Ac 0.5000 0.5000 0.5000
2 Zn 0.5000 0.0000 0.0000
3 Er 0.0000 0.0000 0.5000
4 Er 0.0000 0.5000 0.0000

=====

Most stable: version A (next structure +6.5 kJ/mol of atoms)

=====

Version A
Computed, not measured: a relaxed structure of AcEr2Zn at the PBE-GGA level of DFT.

## Properties
Space-group type = R-3m
V = 31.736 Å³ per atom
Fermi-level density of states = 1.117 states/eV per atom

abc: 3.5838 3.5838 11.5992
angles: 81.11 81.11 60.00
Fractional positions:
1 Ac 0.0000 0.0000 0.0000
2 Zn 0.5000 0.5000 0.5000
3 Er 0.1046 0.1046 0.6862
4 Er 0.8954 0.8954 0.3138

=====

Version B
Computed, not measured: a relaxed structure of AcEr2Zn at the PBE-GGA level of DFT.

## Properties
Space-group type = P4/mmm
V = 29.689 Å³ per atom
Fermi-level density of states = 1.120 states/eV per atom

abc: 3.6292 3.6292 9.0167
angles: 90.00 90.00 90.00
Fractional positions:
1 Ac 0.5000 0.5000 0.5000
2 Zn 0.5000 0.5000 0.0000
3 Er 0.0000 0.0000 0.8106
4 Er 0.0000 0.0000 0.1894

=====

Most stable: version B (next structure +24.5 kJ/mol of atoms)

=====

Version A
Computed, not measured: a relaxed structure of AcErZn at the PBE-GGA level of DFT.

## Properties
Space-group type = I4/mmm
V = 32.064 Å³ per atom
Fermi-level density of states = 1.048 states/eV per atom

abc: 5.8368 8.6278 8.6278
angles: 83.43 70.23 70.23
Fractional positions:
1 Er 0.1860 0.0000 0.6279
2 Er 0.8140 0.3721 0.0000
3 Er 0.8140 0.0000 0.3721
4 Er 0.1860 0.6279 0.0000
5 Zn 0.0000 0.3805 0.6195
6 Zn 0.6195 0.3805 0.3805
7 Zn 0.3805 0.6195 0.6195
8 Zn 0.0000 0.6195 0.3805
9 Ac 0.5000 0.2456 0.7544
10 Ac 0.2544 0.2456 0.2456
11 Ac 0.7456 0.7544 0.7544
12 Ac 0.5000 0.7544 0.2456

=====

Version B
Computed, not measured: a relaxed structure of AcErZn at the PBE-GGA level of DFT.

## Properties
Space-group type = P-6m2
V = 30.636 Å³ per atom
Fermi-level density of states = 1.233 states/eV per atom

abc: 3.9694 5.1707 5.1707
angles: 120.00 90.00 90.00
Fractional positions:
1 Ac 0.0001 0.0000 0.0000
2 Zn 0.4997 0.3333 0.6667
3 Er 0.5002 0.6667 0.3333

=====

Most stable: version B (next structure +5.3 kJ/mol of atoms)

=====

Version A
Computed, not measured: a relaxed structure of AcEr2Zr at the PBE-GGA level of DFT.

## Properties
Space-group type = R3m
V = 31.460 Å³ per atom
Fermi-level density of states = 1.480 states/eV per atom

abc: 3.5605 3.5605 11.6451
angles: 81.21 81.21 60.00
Fractional positions:
1 Ac 0.5005 0.5005 0.4985
2 Er 0.0746 0.0746 0.7762
3 Er 0.2586 0.2586 0.2242
4 Zr 0.6663 0.6663 0.0010

=====

Version B
Computed, not measured: a relaxed structure of AcEr2Zr at the PBE-GGA level of DFT.

## Properties
Space-group type = P4/mmm
V = 31.899 Å³ per atom
Fermi-level density of states = 2.116 states/eV per atom

abc: 4.0204 4.0204 7.8939
angles: 90.00 90.00 90.00
Site moments in Bohr magnetons follow the coordinates.
Fractional positions:
1 Ac 0.5000 0.5000 0.5000  0.00
2 Zr 0.5000 0.5000 0.0000  0.22
3 Er 0.0000 0.0000 0.7953  0.08
4 Er 0.0000 0.0000 0.2047  0.08

=====

Version C
Computed, not measured: a relaxed structure of AcEr2Zr at the PBE-GGA level of DFT.

## Properties
Space-group type = P4/mmm
V = 30.898 Å³ per atom
Fermi-level density of states = 1.217 states/eV per atom

abc: 5.0341 4.9549 4.9549
angles: 90.00 90.00 90.00
Fractional positions:
1 Ac 0.5000 0.5000 0.5000
2 Zr 0.5000 0.0000 0.0000
3 Er 0.0000 0.0000 0.5000
4 Er 0.0000 0.5000 0.0000

=====

Most stable: version A (next structure +0.5 kJ/mol of atoms)

=====

Version A
Computed, not measured: a relaxed structure of AcEu at the PBE-GGA level of DFT.

## Properties
Space-group type = P2_1/m
V = 43.598 Å³ per atom
Fermi-level density of states = 1.280 states/eV per atom

abc: 5.6485 3.9339 8.7748
angles: 63.43 90.00 90.00
Site moments in Bohr magnetons follow the coordinates.
Fractional positions:
1 Eu 0.2500 0.8755 0.8752  -6.97
2 Eu 0.7500 0.1245 0.1248  -6.97
3 Ac 0.2500 0.3719 0.3776  -0.04
4 Ac 0.7500 0.6281 0.6224  -0.04

=====

Version B
Computed, not measured: a relaxed structure of AcEu at the PBE-GGA level of DFT.

## Properties
Space-group type = Fm-3m
V = 45.846 Å³ per atom
Fermi-level density of states = 1.527 states/eV per atom

abc: 5.0615 5.0615 5.0615
angles: 60.00 60.00 60.00
Site moments in Bohr magnetons follow the coordinates.
Fractional positions:
1 Eu 0.5000 0.5000 0.5000  7.03
2 Ac 0.0000 0.0000 0.0000  0.22

=====

Version C
Computed, not measured: a relaxed structure of AcEu at the PBE-GGA level of DFT.

## Properties
Space-group type = Pm-3m
V = 43.258 Å³ per atom
Fermi-level density of states = 3.217 states/eV per atom

abc: 4.4228 4.4228 4.4228
angles: 90.00 90.00 90.00
Site moments in Bohr magnetons follow the coordinates.
Fractional positions:
1 Eu 0.0000 0.0000 0.0000  6.93
2 Ac 0.5000 0.5000 0.5000  0.12

=====

Most stable: version A (next structure +2.2 kJ/mol of atoms)

=====

Version A
Computed, not measured: a relaxed structure of AcEu2 at the PBE-GGA level of DFT.

## Properties
Space-group type = I4/mmm
V = 42.868 Å³ per atom
Fermi-level density of states = 2.976 states/eV per atom

abc: 3.9447 3.9447 8.7228
angles: 103.07 103.07 90.00
Site moments in Bohr magnetons follow the coordinates.
Fractional positions:
1 Eu 0.6682 0.6682 0.3364  6.99
2 Eu 0.3318 0.3318 0.6636  6.99
3 Ac 0.0000 0.0000 0.0000  0.01

=====

Version B
Computed, not measured: a relaxed structure of AcEu2 at the PBE-GGA level of DFT.

## Properties
Space-group type = Fd-3m
V = 43.767 Å³ per atom
Fermi-level density of states = 2.058 states/eV per atom

abc: 7.1879 7.1879 7.1879
angles: 60.00 60.00 60.00
Site moments in Bohr magnetons follow the coordinates.
Fractional positions:
1 Eu 0.1250 0.6250 0.6250  7.08
2 Eu 0.6250 0.1250 0.6250  7.08
3 Eu 0.6250 0.6250 0.6250  7.08
4 Eu 0.6250 0.6250 0.1250  7.08
5 Ac 0.0000 0.0000 0.0000  0.19
6 Ac 0.2500 0.2500 0.2500  0.19

=====

Most stable: version A (next structure +14.6 kJ/mol of atoms)

=====

Version A
Computed, not measured: a relaxed structure of AcEuGa at the PBE-GGA level of DFT.

## Properties
Space-group type = P3m1
V = 32.884 Å³ per atom
Fermi-level density of states = 0.902 states/eV per atom

abc: 4.0488 5.3043 5.3043
angles: 120.00 90.00 90.00
Site moments in Bohr magnetons follow the coordinates.
Fractional positions:
1 Eu 0.5802 0.3333 0.6667  -6.87
2 Ac 0.0343 0.0000 0.0000  -0.04
3 Ga 0.3854 0.6667 0.3333  0.04

=====

Version B
Computed, not measured: a relaxed structure of AcEuGa at the PBE-GGA level of DFT.

## Properties
Space-group type = I4mm
V = 33.698 Å³ per atom
Fermi-level density of states = 1.058 states/eV per atom

abc: 3.9091 3.9091 7.1698
angles: 105.82 105.82 90.00
Site moments in Bohr magnetons follow the coordinates.
Fractional positions:
1 Eu 0.0332 0.0332 0.0665  -6.89
2 Ac 0.3049 0.3049 0.6098  -0.05
3 Ga 0.6618 0.6618 0.3237  0.01

=====

Version C
Computed, not measured: a relaxed structure of AcEuGa at the PBE-GGA level of DFT.

## Properties
Space-group type = F-43m
V = 36.425 Å³ per atom
Fermi-level density of states = 2.601 states/eV per atom

abc: 5.3663 5.3663 5.3663
angles: 60.00 60.00 60.00
Site moments in Bohr magnetons follow the coordinates.
Fractional positions:
1 Eu 0.0000 0.0000 0.0000  -6.89
2 Ac 0.5000 0.5000 0.5000  -0.04
3 Ga 0.2500 0.2500 0.2500  0.06

=====

Most stable: version B (next structure +7.1 kJ/mol of atoms)

=====

Version A
Computed, not measured: a relaxed structure of AcEuGd2 at the PBE-GGA level of DFT.

## Properties
Space-group type = Fm-3m
V = 37.737 Å³ per atom
Fermi-level density of states = 1.911 states/eV per atom

abc: 5.9765 5.9765 5.9765
angles: 60.00 60.00 60.00
Site moments in Bohr magnetons follow the coordinates.
Fractional positions:
1 Eu 0.5000 0.5000 0.5000  -6.81
2 Ac 0.0000 0.0000 0.0000  0.12
3 Gd 0.2500 0.2500 0.2500  7.18
4 Gd 0.7500 0.7500 0.7500  7.18

=====

Version B
Computed, not measured: a relaxed structure of AcEuGd2 at the PBE-GGA level of DFT.

## Properties
Space-group type = P4/mmm
V = 37.040 Å³ per atom
Fermi-level density of states = 1.881 states/eV per atom

abc: 5.3185 5.2781 5.2781
angles: 90.00 90.00 90.00
Site moments in Bohr magnetons follow the coordinates.
Fractional positions:
1 Eu 0.5000 0.0000 0.0000  6.88
2 Ac 0.5000 0.5000 0.5000  0.05
3 Gd 0.0000 0.0000 0.5000  7.25
4 Gd 0.0000 0.5000 0.0000  7.25

=====

Most stable: version B (next structure +4.6 kJ/mol of atoms)